[1]
The following is a PBE calculation of DyPPbO after structural relaxation, from the Open Quantum Materials Database.

Cell: 4.6569 4.6569 8.1266 Å, 90.00 90.00 90.00°
Atoms (fractional coordinates):
Dy 0.7500 0.2500 0.5000
Dy 0.2500 0.7500 0.5000
O 0.7500 0.2500 0.0000
O 0.2500 0.7500 0.0000
P 0.7500 0.7500 0.3300
P 0.2500 0.2500 0.6700
Pb 0.2500 0.2500 0.1019
Pb 0.7500 0.7500 0.8981

## Properties
**Symmetry**: P4/nmm, No. 129

=====

[2]
The following is a PBE calculation of DyPPdO after structural relaxation, from the Open Quantum Materials Database.

Cell: 4.7573 4.4459 5.9670 Å, 90.00 90.00 90.00°
Atoms (fractional coordinates):
Dy 0.0000 0.2002 0.0828
Dy 0.0000 0.7998 0.5828
O 0.0000 0.3342 0.4407
O 0.0000 0.6658 0.9407
P 0.5000 0.8729 0.2926
P 0.5000 0.1271 0.7926
Pd 0.5000 0.3746 0.4378
Pd 0.5000 0.6254 0.9378

## Properties
**Symmetry**: Pmc2_1, No. 26

=====

[3]
The following is a PBE calculation of DyPPdO after structural relaxation, from the Open Quantum Materials Database.

Cell: 3.5338 7.6092 5.5165 Å, 90.00 90.00 90.00°
Atoms (fractional coordinates):
Dy 0.0000 0.7744 0.4362
Dy 0.0000 0.2256 0.9362
O 0.5000 0.9206 0.4446
O 0.5000 0.0794 0.9446
P 0.0000 0.4077 0.4366
P 0.0000 0.5923 0.9366
Pd 0.5000 0.2164 0.4367
Pd 0.5000 0.7836 0.9367

## Properties
**Symmetry**: Pmc2_1, No. 26

=====

[4]
The following is a PBE calculation of DyPPdO after structural relaxation, from the Open Quantum Materials Database.

Cell: 4.0411 4.0411 7.8078 Å, 90.00 90.00 90.00°
Atoms (fractional coordinates):
Dy 0.0000 0.5000 0.1335
Dy 0.5000 0.0000 0.8665
O 0.0000 0.0000 0.0000
O 0.5000 0.5000 0.0000
P 0.5000 0.0000 0.3339
P 0.0000 0.5000 0.6661
Pd 0.0000 0.0000 0.5000
Pd 0.5000 0.5000 0.5000

## Properties
**Symmetry**: P4/nmm, No. 129

=====

What are the relative energy among the computed polymorphs values for these records? In order: 636 382 505 0 meV per atom.